Record 1
This record from the Alexandria database describes Ca3MnSi after structural relaxation. The functional is PBE-GGA.

Lattice parameters (Å, degrees): 5.6415 5.6415 5.6415 90.00 90.00 90.00
Last column: nearest neighbours and their distance in Å.
Space group Pm-3m (No. 221)
Asymmetric unit:
Ca 0.0000 0.0000 0.5000 [3 per cell]  2 Si 2.82
Mn 0.5000 0.5000 0.5000 [1 per cell]  12 Ca 3.99
Si 0.0000 0.0000 0.0000 [1 per cell]  6 Ca 2.82

Values from the calculation:
Offset from the most stable computed form ... 0 meV/atom

=====

Record 2
This record from the Alexandria database describes Sr2CaMnSi after structural relaxation. The functional is PBE-GGA.

Lattice parameters (Å, degrees): 6.1992 6.1992 4.7499 90.00 90.00 90.00
Last column: nearest neighbours and their distance in Å.
Space group P4/mmm (No. 123)
Asymmetric unit:
Sr 0.0000 0.5000 0.0000 [2 per cell]  2 Ca 3.10
Ca 0.0000 0.0000 0.0000 [1 per cell]  2 Mn 2.37
Mn 0.0000 0.0000 0.5000 [1 per cell]  2 Ca 2.37
Si 0.5000 0.5000 0.5000 [1 per cell]  8 Sr 3.90

=====

The records above give, respectively, E_form (uncorrected) values of 294 1210 meV per atom.